1.
Here is an optimized crystal structure of RbZn3P from Alexandria via LeMat-Bulk. Energies are from PBE-GGA.

Calculated values
Offset from the most stable computed form   0.951 eV per atom

Structure (CIF):
```
data_RbZn3P
_space_group_name_H-M_alt 'P m -3 m'
_space_group_IT_number 221
_space_group_name_Hall '-P 4 2 3'
_cell_length_a 6.6601
_cell_length_b 6.6601
_cell_length_c 6.6601
_cell_angle_alpha 90.00
_cell_angle_beta 90.00
_cell_angle_gamma 90.00
loop_
_atom_site_label
_atom_site_type_symbol
_atom_site_fract_x
_atom_site_fract_y
_atom_site_fract_z
Rb1 Rb 0.0000 0.0000 0.0000
Zn1 Zn 0.0000 0.0000 0.5000
P1 P 0.5000 0.5000 0.5000
```

***

2.
Here is an optimized crystal structure of Ac2AgBiPd6 from Alexandria via LeMat-Bulk. Energies are from PBE-GGA.

Structure (CIF):
```
data_Ac2AgBiPd6
_space_group_name_H-M_alt 'C 1 2/m 1'
_space_group_IT_number 12
_space_group_name_Hall '-C 2y'
_cell_length_a 12.6547
_cell_length_b 5.6148
_cell_length_c 8.6160
_cell_angle_alpha 90.00
_cell_angle_beta 132.51
_cell_angle_gamma 90.00
loop_
_atom_site_label
_atom_site_type_symbol
_atom_site_fract_x
_atom_site_fract_y
_atom_site_fract_z
Ac1 Ac 0.0186 0.0000 0.2814
Ag1 Ag 0.0000 0.5000 0.5000
Bi1 Bi 0.0000 0.5000 0.0000
Pd1 Pd 0.1865 0.5000 0.9322
Pd2 Pd 0.2494 0.2449 0.2774
```

***

3.
Here is an optimized crystal structure of CeDy2Tm5 from Alexandria via LeMat-Bulk. Energies are from PBE-GGA.

Calculated values
Offset from the most stable computed form   0.000 eV per atom

Structure (CIF):
```
data_CeDy2Tm5
_space_group_name_H-M_alt 'I 4/m m m'
_space_group_IT_number 139
_space_group_name_Hall '-I 4 2'
_cell_length_a 7.0123
_cell_length_b 7.0123
_cell_length_c 9.8652
_cell_angle_alpha 90.00
_cell_angle_beta 90.00
_cell_angle_gamma 90.00
loop_
_atom_site_label
_atom_site_type_symbol
_atom_site_fract_x
_atom_site_fract_y
_atom_site_fract_z
Ce1 Ce 0.0000 0.0000 0.0000
Dy1 Dy 0.0000 0.5000 0.0000
Tm1 Tm 0.0000 0.0000 0.5000
Tm2 Tm 0.2500 0.2500 0.2500
```

***

4.
Here is an optimized crystal structure of LaZn2In from Alexandria via LeMat-Bulk. Energies are from PBE-GGA.

Structure (CIF):
```
data_LaZn2In
_space_group_name_H-M_alt 'I -4 2 d'
_space_group_IT_number 122
_space_group_name_Hall 'I -4 2bw'
_cell_length_a 4.7871
_cell_length_b 4.7871
_cell_length_c 18.7346
_cell_angle_alpha 90.00
_cell_angle_beta 90.00
_cell_angle_gamma 90.00
loop_
_atom_site_label
_atom_site_type_symbol
_atom_site_fract_x
_atom_site_fract_y
_atom_site_fract_z
La1 La 0.0000 0.0000 0.0000
Zn1 Zn 0.1038 0.2500 0.6250
In1 In 0.0000 0.0000 0.5000
```

***

5.
Here is an optimized crystal structure of LiTh2Ag from Alexandria via LeMat-Bulk. Energies are from PBE-GGA.

Calculated values
Offset from the most stable computed form   0.009 eV per atom

Structure (CIF):
```
data_LiTh2Ag
_space_group_name_H-M_alt 'P 4/m m m'
_space_group_IT_number 123
_space_group_name_Hall '-P 4 2'
_cell_length_a 3.8516
_cell_length_b 3.8516
_cell_length_c 6.9472
_cell_angle_alpha 90.00
_cell_angle_beta 90.00
_cell_angle_gamma 90.00
loop_
_atom_site_label
_atom_site_type_symbol
_atom_site_fract_x
_atom_site_fract_y
_atom_site_fract_z
Li1 Li 0.0000 0.0000 0.0000
Th1 Th 0.5000 0.5000 0.2484
Ag1 Ag 0.0000 0.0000 0.5000
```

***

6.
Here is an optimized crystal structure of MnPb2 from Alexandria via LeMat-Bulk. Energies are from PBE-GGA.

Structure (CIF):
```
data_MnPb2
_space_group_name_H-M_alt 'P -3 m 1'
_space_group_IT_number 164
_space_group_name_Hall '-P 3 2"'
_cell_length_a 4.8945
_cell_length_b 4.8945
_cell_length_c 3.8408
_cell_angle_alpha 90.00
_cell_angle_beta 90.00
_cell_angle_gamma 120.00
loop_
_atom_site_label
_atom_site_type_symbol
_atom_site_fract_x
_atom_site_fract_y
_atom_site_fract_z
Mn1 Mn 0.0000 0.0000 0.0000
Pb1 Pb 0.3333 0.6667 0.2580
```

***

7.
Here is an optimized crystal structure of Tb2Ga4Co3 from Alexandria via LeMat-Bulk. Energies are from PBE-GGA.

Structure (CIF):
```
data_Tb2Ga4Co3
_space_group_name_H-M_alt 'F m m m'
_space_group_IT_number 69
_space_group_name_Hall '-F 2 2'
_cell_length_a 5.2531
_cell_length_b 9.1208
_cell_length_c 12.5373
_cell_angle_alpha 90.00
_cell_angle_beta 90.00
_cell_angle_gamma 90.00
loop_
_atom_site_label
_atom_site_type_symbol
_atom_site_fract_x
_atom_site_fract_y
_atom_site_fract_z
Tb1 Tb 0.0000 0.0000 0.1252
Ga1 Ga 0.0000 0.1703 0.3460
Co1 Co 0.0000 0.0000 0.5000
Co2 Co 0.2500 0.2500 0.0000
```

***

8.
Here is an optimized crystal structure of CsCaZr3 from Alexandria via LeMat-Bulk. Energies are from PBE-GGA.

Calculated values
Offset from the most stable computed form   0.000 eV per atom

Structure (CIF):
```
data_CsCaZr3
_space_group_name_H-M_alt 'P m -3 m'
_space_group_IT_number 221
_space_group_name_Hall '-P 4 2 3'
_cell_length_a 5.3737
_cell_length_b 5.3737
_cell_length_c 5.3737
_cell_angle_alpha 90.00
_cell_angle_beta 90.00
_cell_angle_gamma 90.00
loop_
_atom_site_label
_atom_site_type_symbol
_atom_site_fract_x
_atom_site_fract_y
_atom_site_fract_z
Cs1 Cs 0.0000 0.0000 0.0000
Ca1 Ca 0.5000 0.5000 0.5000
Zr1 Zr 0.0000 0.0000 0.5000
```

***

no.,formation energy from the elements (eV/f.u.)
1,6.18
2,-5.29
3,0.31
4,-0.39
5,0.48
6,1.35
7,-3.69
8,8.13